Pr3DyEr3S8 | PBE | optimized geometry

```
data_Pr3DyEr3S8
_cell_length_a 7.884
_cell_length_b 7.884
_cell_length_c 8.020
_cell_angle_alpha 119.44
_cell_angle_beta 90.00
_cell_angle_gamma 120.00
_symmetry_space_group_name_H-M 'P 1'
_symmetry_Int_Tables_number 1
_symmetry_space_group_name_Hall 'P 1'
loop_
_atom_site_label
_atom_site_type_symbol
_atom_site_fract_x
_atom_site_fract_y
_atom_site_fract_z
Pr1 Pr 0.000 0.000 0.000
Pr2 Pr 0.000 0.500 0.000
Pr3 Pr 0.500 0.500 0.000
Dy1 Dy 0.000 0.000 0.500
Er1 Er 0.500 0.000 0.500
Er2 Er 0.500 0.500 0.500
Er3 Er 0.000 0.500 0.500
S1 S 0.257 0.515 0.272
S2 S 0.743 0.485 0.728
S3 S 0.753 0.506 0.268
S4 S 0.247 0.494 0.732
S5 S 0.753 0.014 0.268
S6 S 0.247 0.986 0.732
S7 S 0.261 0.014 0.268
S8 S 0.739 0.986 0.732
```

Summary:
Its space group is R-3m (166).

***

ReAsAu | PBE | optimized geometry

```
data_ReAsAu
_cell_length_a 4.315
_cell_length_b 4.315
_cell_length_c 4.315
_cell_angle_alpha 60.00
_cell_angle_beta 60.00
_cell_angle_gamma 60.00
_symmetry_space_group_name_H-M 'P 1'
_symmetry_Int_Tables_number 1
_symmetry_space_group_name_Hall 'P 1'
loop_
_atom_site_label
_atom_site_type_symbol
_atom_site_fract_x
_atom_site_fract_y
_atom_site_fract_z
Re1 Re 0.250 0.250 0.250
As1 As 0.000 0.000 0.000
Au1 Au 0.500 0.500 0.500
```

Summary:
Its space group is F-43m (216). The formation energy comes out at 0.568 eV/atom.

***

PrCdHgPt | PBE | optimized geometry

```
data_PrCdHgPt
_cell_length_a 5.068
_cell_length_b 5.068
_cell_length_c 5.068
_cell_angle_alpha 60.00
_cell_angle_beta 60.00
_cell_angle_gamma 60.00
_symmetry_space_group_name_H-M 'P 1'
_symmetry_Int_Tables_number 1
_symmetry_space_group_name_Hall 'P 1'
loop_
_atom_site_label
_atom_site_type_symbol
_atom_site_fract_x
_atom_site_fract_y
_atom_site_fract_z
Pr1 Pr 0.000 0.000 0.000
Hg1 Hg 0.250 0.250 0.250
Pt1 Pt 0.750 0.750 0.750
Cd1 Cd 0.500 0.500 0.500
```

Summary:
Its space group is F-43m (216). The formation energy comes out at -0.537 eV/atom.

***

Computed values of uncorrected energy (unit: eV per atom) for the preceding records, in sequence: -6.4179; -6.2234; -3.5459.